*P*
SrZr3Te: optimized geometry, PBE-GGA.

extended XYZ file:
```
5
Lattice="-4.442 1.424 -2.339 -2.663 -1.207 4.322 0.638 4.873 1.754" Properties=species:S:1:pos:R:3 pbc="T T T"
Zr 0.319 2.436 0.877
Zr -2.221 0.712 -1.170
Zr -1.332 -0.603 2.161
Sr 0.000 0.000 0.000
Te -3.233 2.545 1.868
```

Results
space group = No. 221

---

*Q*
SrZr3Te: optimized geometry, PBE-GGA.

extended XYZ file:
```
5
Lattice="5.421 0.000 0.000 0.000 5.421 0.000 0.000 0.000 5.421" Properties=species:S:1:pos:R:3 pbc="T T T"
Sr 2.710 2.710 2.710
Zr 0.000 0.000 2.710
Zr 2.710 0.000 0.000
Zr 0.000 2.710 0.000
Te 0.000 0.000 0.000
```

Results
space group = No. 221

---

If you had to bet on the most stable structure above, which would it be? Bet on *Q*.